<one>
## Li2CuOs (PBE-GGA)

Data for a relaxed Li2CuOs crystal.

Properties
Size of the total moment   0.0 μB per formula unit
Volume   54.0 Å³/cell

a = 2.5726 Å, b = 2.5726 Å, c = 8.8920 Å
α = 90.00°, β = 90.00°, γ = 113.48°
Closest atoms and distances in Å follow each position.
Atoms (fractional coordinates):
1 Cu 0.5000 0.5000 0.7500  6 Cu 2.57-2.82, 4 Li 2.63
2 Li 0.0000 0.0000 0.0002  6 Li 2.57-2.82, 2 Os 2.63, 2 Cu 2.63
3 Li 0.0000 0.0000 0.4998  6 Li 2.57-2.82, 2 Os 2.63, 2 Cu 2.63
4 Os 0.5000 0.5000 0.2500  6 Os 2.57-2.82, 4 Li 2.63

***

<two>
## Li2CuOs (PBE-GGA)

Data for a relaxed Li2CuOs crystal.

Properties
Size of the total moment   1.1 μB per formula unit
Volume   49.1 Å³/cell

a = 4.1114 Å, b = 4.1114 Å, c = 4.1114 Å
α = 60.00°, β = 60.00°, γ = 60.00°
Closest atoms and distances in Å follow each position.
Atoms (fractional coordinates):
1 Os 0.5000 0.5000 0.5000  8 Li 2.52
2 Cu 0.0000 0.0000 0.0000  8 Li 2.52
3 Li 0.2500 0.2500 0.2500  4 Os 2.52, 4 Cu 2.52
4 Li 0.7500 0.7500 0.7500  4 Cu 2.52, 4 Os 2.52

***

<three>
## Li2CuOs (PBE-GGA)

Data for a relaxed Li2CuOs crystal.

Properties
Size of the total moment   0.2 μB per formula unit
Volume   105.6 Å³/cell

a = 6.5332 Å, b = 6.5332 Å, c = 5.2405 Å
α = 51.44°, β = 51.44°, γ = 90.00°
Closest atoms and distances in Å follow each position.
Atoms (fractional coordinates):
1 Os 0.0000 0.0000 0.0000  2 Cu 2.47, 4 Li 2.48
2 Os 0.7500 0.2500 0.5000  2 Cu 2.47, 4 Li 2.48
3 Cu 0.5000 0.5000 0.0000  4 Li 2.31, 2 Os 2.47
4 Cu 0.2500 0.7500 0.5000  4 Li 2.31, 2 Os 2.47
5 Li 0.6055 0.1250 0.2500  2 Cu 2.31, 2 Os 2.48, 2 Li 2.49
6 Li 0.1445 0.6250 0.2500  2 Cu 2.31, 2 Os 2.48, 2 Li 2.49
7 Li 0.3750 0.3945 0.7500  2 Cu 2.31, 2 Os 2.48, 2 Li 2.49
8 Li 0.8750 0.8555 0.7500  2 Cu 2.31, 2 Os 2.48, 2 Li 2.49

***

Quick one: least stable of them? <three>

***

<one>
## Li3CuOs (PBE-GGA)

Data for a relaxed Li3CuOs crystal.

Properties
Size of the total moment   1.7 μB per formula unit
Volume   107.7 Å³/cell

a = 4.7585 Å, b = 4.7585 Å, c = 4.7585 Å
α = 90.00°, β = 90.00°, γ = 90.00°
Closest atoms and distances in Å follow each position.
Atoms (fractional coordinates):
1 Os 0.0000 0.0000 0.0000  6 Li 2.38
2 Cu 0.5000 0.5000 0.5000  12 Li 3.36
3 Li 0.0000 0.5000 0.0000  2 Os 2.38
4 Li 0.0000 0.0000 0.5000  2 Os 2.38
5 Li 0.5000 0.0000 0.0000  2 Os 2.38

***

<two>
## Li3CuOs (PBE-GGA)

Data for a relaxed Li3CuOs crystal.

Properties
Size of the total moment   0.0 μB per formula unit
Volume   71.5 Å³/cell

a = 4.1499 Å, b = 4.1499 Å, c = 4.1499 Å
α = 90.00°, β = 90.00°, γ = 90.00°
Closest atoms and distances in Å follow each position.
Atoms (fractional coordinates):
1 Os 0.5000 0.5000 0.5000  12 Li 2.93
2 Cu 0.0000 0.0000 0.0000  6 Li 2.07
3 Li 0.0000 0.5000 0.0000  2 Cu 2.07
4 Li 0.0000 0.0000 0.5000  2 Cu 2.07
5 Li 0.5000 0.0000 0.0000  2 Cu 2.07

***

Quick one: least stable of them? <one>

***

<one>
## Li2Cu2P (PBE-GGA)

Data for a relaxed Li2Cu2P crystal.

Properties
Size of the total moment   0.0 μB per formula unit
Volume   81.5 Å³/cell

a = 4.2685 Å, b = 4.2685 Å, c = 4.4725 Å
α = 90.00°, β = 90.00°, γ = 90.00°
Closest atoms and distances in Å follow each position.
Atoms (fractional coordinates):
1 P 0.5000 0.5000 0.5000  4 Cu 3.02, 8 Li 3.09
2 Cu 0.0000 0.0000 0.0000  4 Li 2.13, 2 Cu 2.24
3 Cu 0.0000 0.0000 0.5000  2 Cu 2.24
4 Li 0.0000 0.5000 0.0000  2 Cu 2.13
5 Li 0.5000 0.0000 0.0000  2 Cu 2.13

***

<two>
## Li2Cu2P (PBE-GGA)

Data for a relaxed Li2Cu2P crystal.

Properties
Size of the total moment   0.0 μB per formula unit
Volume   144.4 Å³/cell

a = 5.9001 Å, b = 5.9001 Å, c = 4.1480 Å
α = 90.00°, β = 90.00°, γ = 90.00°
Closest atoms and distances in Å follow each position.
Atoms (fractional coordinates):
1 P 0.0000 0.0000 0.0000  4 Cu 2.25
2 P 0.5000 0.5000 0.0000  4 Cu 2.25
3 Cu 0.3516 0.8516 0.0000  2 P 2.25, 1 Cu 2.48
4 Cu 0.8516 0.6484 0.0000  2 P 2.25, 1 Cu 2.48
5 Cu 0.6484 0.1484 0.0000  2 P 2.25, 1 Cu 2.48
6 Cu 0.1484 0.3516 0.0000  2 P 2.25, 1 Cu 2.48
7 Li 0.1735 0.6735 0.5000  6 Cu 2.55-2.82
8 Li 0.6735 0.8265 0.5000  6 Cu 2.55-2.82
9 Li 0.8265 0.3265 0.5000  6 Cu 2.55-2.82
10 Li 0.3265 0.1735 0.5000  6 Cu 2.55-2.82

***

Quick one: least stable of them? <one>